1.
# La2YTlBi, PBEsol geometry, DFT SCAN
data_La2YTlBi
_chemical_formula_sum 'La2 Y1 Tl1 Bi1'
_symmetry_space_group_name_H-M 'P 1'
_symmetry_Int_Tables_number 1
_cell_length_a 5.7030
_cell_length_b 5.7030
_cell_length_c 5.7145
_cell_angle_alpha 90.00
_cell_angle_beta 90.00
_cell_angle_gamma 90.00
loop_
_symmetry_equiv_pos_as_xyz
'x,y,z'
loop_
_atom_site_label
_atom_site_fract_x
_atom_site_fract_y
_atom_site_fract_z
La1 0.0000 0.5000 0.0000
La2 0.5000 0.0000 0.0000
Y1 0.0000 0.0000 0.0000
Tl1 0.5000 0.5000 0.5000
Bi1 0.0000 0.0000 0.5000
# - calculated volume (Å³ per cell) = 186
# - total magnetic moment (μB/f.u.) = 0.0
# - total energy (eV/atom) = -52.7125
# - calculated formation energy (eV/atom) = 0.286
# - space group = P4/mmm
# - ρ (g cm⁻³) = 6.970

2.
# K2CdAs, PBEsol geometry, DFT SCAN
data_K2CdAs
_chemical_formula_sum 'K2 Cd1 As1'
_symmetry_space_group_name_H-M 'P 1'
_symmetry_Int_Tables_number 1
_cell_length_a 5.8793
_cell_length_b 5.8793
_cell_length_c 3.4138
_cell_angle_alpha 90.00
_cell_angle_beta 90.00
_cell_angle_gamma 90.80
loop_
_symmetry_equiv_pos_as_xyz
'x,y,z'
loop_
_atom_site_label
_atom_site_fract_x
_atom_site_fract_y
_atom_site_fract_z
K1 0.0000 0.5000 0.0000
K2 0.5000 0.0000 0.0000
Cd1 0.0000 0.0000 0.5000
As1 0.5000 0.5000 0.5000
# - calculated volume (Å³ per cell) = 118
# - total magnetic moment (μB/f.u.) = 0.0
# - total energy (eV/atom) = -16.9437
# - calculated formation energy (eV/atom) = -0.128
# - space group = Cmmm
# - ρ (g cm⁻³) = 3.737

3.
# K4Cl5, PBEsol geometry, DFT SCAN
data_K4Cl5
_chemical_formula_sum 'K4 Cl5'
_symmetry_space_group_name_H-M 'P 1'
_symmetry_Int_Tables_number 1
_cell_length_a 8.3898
_cell_length_b 8.3898
_cell_length_c 8.3898
_cell_angle_alpha 97.10
_cell_angle_beta 97.10
_cell_angle_gamma 138.83
loop_
_symmetry_equiv_pos_as_xyz
'x,y,z'
loop_
_atom_site_label
_atom_site_fract_x
_atom_site_fract_y
_atom_site_fract_z
K1 0.0000 0.2538 0.2538
K2 0.0000 0.7462 0.7462
K3 0.2538 0.0000 0.2538
K4 0.7462 0.0000 0.7462
Cl1 0.0000 0.0000 0.0000
Cl2 0.2738 0.2738 0.5476
Cl3 0.2738 0.7262 0.0000
Cl4 0.7262 0.2738 0.0000
Cl5 0.7262 0.7262 0.4524
# - calculated volume (Å³ per cell) = 364
# - total magnetic moment (μB/f.u.) = 1.0
# - total energy (eV/atom) = -9.7209
# - space group = I4/mmm
# - ρ (g cm⁻³) = 1.522

4.
# Sc3NiC4, PBEsol geometry, DFT SCAN
data_Sc3NiC4
_chemical_formula_sum 'Sc3 Ni1 C4'
_symmetry_space_group_name_H-M 'P 1'
_symmetry_Int_Tables_number 1
_cell_length_a 6.4952
_cell_length_b 6.4952
_cell_length_c 6.4952
_cell_angle_alpha 149.49
_cell_angle_beta 141.07
_cell_angle_gamma 50.24
loop_
_symmetry_equiv_pos_as_xyz
'x,y,z'
loop_
_atom_site_label
_atom_site_fract_x
_atom_site_fract_y
_atom_site_fract_z
Sc1 0.0000 0.0000 0.0000
Sc2 0.3124 0.8124 0.5000
Sc3 0.6876 0.1876 0.5000
Ni1 0.5000 0.5000 0.0000
C1 0.0449 0.3766 0.6683
C2 0.2917 0.6234 0.6683
C3 0.7083 0.3766 0.3317
C4 0.9551 0.6234 0.3317
# - calculated volume (Å³ per cell) = 87
# - total magnetic moment (μB/f.u.) = 0.0
# - total energy (eV/atom) = -12.9394
# - calculated formation energy (eV/atom) = -0.529
# - space group = Immm
# - ρ (g cm⁻³) = 4.612

5.
# CsTl3Pd, PBEsol geometry, DFT SCAN
data_CsTl3Pd
_chemical_formula_sum 'Cs1 Tl3 Pd1'
_symmetry_space_group_name_H-M 'P 1'
_symmetry_Int_Tables_number 1
_cell_length_a 5.3920
_cell_length_b 5.3920
_cell_length_c 5.3920
_cell_angle_alpha 90.00
_cell_angle_beta 90.00
_cell_angle_gamma 90.00
loop_
_symmetry_equiv_pos_as_xyz
'x,y,z'
loop_
_atom_site_label
_atom_site_fract_x
_atom_site_fract_y
_atom_site_fract_z
Cs1 0.0000 0.0000 0.0000
Tl1 0.0000 0.5000 0.5000
Tl2 0.5000 0.0000 0.5000
Tl3 0.5000 0.5000 0.0000
Pd1 0.5000 0.5000 0.5000
# - calculated volume (Å³ per cell) = 157
# - total magnetic moment (μB/f.u.) = 0.0
# - total energy (eV/atom) = -57.6417
# - calculated formation energy (eV/atom) = -0.110
# - space group = Pm-3m
# - ρ (g cm⁻³) = 9.030

6.
# Na2Si2S5, PBEsol geometry, DFT SCAN
data_Na2Si2S5
_chemical_formula_sum 'Na8 Si8 S20'
_symmetry_space_group_name_H-M 'P 1'
_symmetry_Int_Tables_number 1
_cell_length_a 8.9279
_cell_length_b 8.9279
_cell_length_c 10.3127
_cell_angle_alpha 90.00
_cell_angle_beta 90.00
_cell_angle_gamma 89.47
loop_
_symmetry_equiv_pos_as_xyz
'x,y,z'
loop_
_atom_site_label
_atom_site_fract_x
_atom_site_fract_y
_atom_site_fract_z
Na1 0.0874 0.5815 0.7500
Na2 0.1509 0.1509 0.0000
Na3 0.1509 0.1509 0.5000
Na4 0.4185 0.9126 0.7500
Na5 0.5815 0.0874 0.2500
Na6 0.8491 0.8491 0.0000
Na7 0.8491 0.8491 0.5000
Na8 0.9126 0.4185 0.2500
Si1 0.2532 0.7468 0.0832
Si2 0.2532 0.7468 0.4168
Si3 0.3143 0.4152 0.2500
Si4 0.4152 0.3143 0.7500
Si5 0.5848 0.6857 0.2500
Si6 0.6857 0.5848 0.7500
Si7 0.7468 0.2532 0.5832
Si8 0.7468 0.2532 0.9168
S1 0.1520 0.8480 0.2500
S2 0.1582 0.8418 0.5804
S3 0.1582 0.8418 0.9196
S4 0.1891 0.2734 0.7500
S5 0.2095 0.5096 0.0796
S6 0.2095 0.5096 0.4204
S7 0.2734 0.1891 0.2500
S8 0.4492 0.5508 0.7500
S9 0.4904 0.7905 0.0796
S10 0.4904 0.7905 0.4204
S11 0.5096 0.2095 0.5796
S12 0.5096 0.2095 0.9204
S13 0.5508 0.4492 0.2500
S14 0.7266 0.8109 0.7500
S15 0.7905 0.4904 0.5796
S16 0.7905 0.4904 0.9204
S17 0.8109 0.7266 0.2500
S18 0.8418 0.1582 0.0804
S19 0.8418 0.1582 0.4196
S20 0.8480 0.1520 0.7500
# - calculated volume (Å³ per cell) = 822
# - total magnetic moment (μB/f.u.) = 0.0
# - total energy (eV/atom) = -9.5732
# - space group = Cmcm
# - ρ (g cm⁻³) = 2.121

7.
# LiOsBr2, PBEsol geometry, DFT SCAN
data_LiOsBr2
_chemical_formula_sum 'Li1 Os1 Br2'
_symmetry_space_group_name_H-M 'P 1'
_symmetry_Int_Tables_number 1
_cell_length_a 3.2086
_cell_length_b 4.9163
_cell_length_c 4.4100
_cell_angle_alpha 90.00
_cell_angle_beta 90.00
_cell_angle_gamma 90.00
loop_
_symmetry_equiv_pos_as_xyz
'x,y,z'
loop_
_atom_site_label
_atom_site_fract_x
_atom_site_fract_y
_atom_site_fract_z
Li1 0.0000 0.0000 0.0000
Os1 0.5000 0.5000 0.6857
Br1 0.0000 0.5000 0.1860
Br2 0.5000 0.0000 0.5581
# - calculated volume (Å³ per cell) = 70
# - total magnetic moment (μB/f.u.) = 0.0
# - total energy (eV/atom) = -28.0430
# - space group = Pmm2
# - ρ (g cm⁻³) = 8.521

8.
# Be2HgPt2, PBEsol geometry, DFT SCAN
data_Be2HgPt2
_chemical_formula_sum 'Be2 Hg1 Pt2'
_symmetry_space_group_name_H-M 'P 1'
_symmetry_Int_Tables_number 1
_cell_length_a 6.3236
_cell_length_b 6.3236
_cell_length_c 6.3236
_cell_angle_alpha 147.89
_cell_angle_beta 147.89
_cell_angle_gamma 46.04
loop_
_symmetry_equiv_pos_as_xyz
'x,y,z'
loop_
_atom_site_label
_atom_site_fract_x
_atom_site_fract_y
_atom_site_fract_z
Be1 0.2500 0.7500 0.5000
Be2 0.7500 0.2500 0.5000
Hg1 0.0000 0.0000 0.0000
Pt1 0.3770 0.3770 0.0000
Pt2 0.6230 0.6230 0.0000
# - calculated volume (Å³ per cell) = 71
# - total magnetic moment (μB/f.u.) = 0.0
# - total energy (eV/atom) = -43.8737
# - calculated formation energy (eV/atom) = -0.422
# - space group = I4/mmm
# - ρ (g cm⁻³) = 14.201

9.
# LaCd2Pb, PBEsol geometry, DFT SCAN
data_LaCd2Pb
_chemical_formula_sum 'La1 Cd2 Pb1'
_symmetry_space_group_name_H-M 'P 1'
_symmetry_Int_Tables_number 1
_cell_length_a 4.6236
_cell_length_b 4.6236
_cell_length_c 4.8836
_cell_angle_alpha 90.00
_cell_angle_beta 90.00
_cell_angle_gamma 90.00
loop_
_symmetry_equiv_pos_as_xyz
'x,y,z'
loop_
_atom_site_label
_atom_site_fract_x
_atom_site_fract_y
_atom_site_fract_z
La1 0.0000 0.0000 0.0000
Cd1 0.0000 0.5000 0.5000
Cd2 0.5000 0.0000 0.5000
Pb1 0.5000 0.5000 0.0000
# - calculated volume (Å³ per cell) = 104
# - total magnetic moment (μB/f.u.) = 0.0
# - total energy (eV/atom) = -45.4176
# - calculated formation energy (eV/atom) = -0.489
# - space group = P4/mmm
# - ρ (g cm⁻³) = 9.081

10.
# KSc2Se, PBEsol geometry, DFT SCAN
data_KSc2Se
_chemical_formula_sum 'K1 Sc2 Se1'
_symmetry_space_group_name_H-M 'P 1'
_symmetry_Int_Tables_number 1
_cell_length_a 4.3983
_cell_length_b 4.3983
_cell_length_c 4.9878
_cell_angle_alpha 90.00
_cell_angle_beta 90.00
_cell_angle_gamma 90.00
loop_
_symmetry_equiv_pos_as_xyz
'x,y,z'
loop_
_atom_site_label
_atom_site_fract_x
_atom_site_fract_y
_atom_site_fract_z
K1 0.0000 0.0000 0.0000
Sc1 0.0000 0.5000 0.5000
Sc2 0.5000 0.0000 0.5000
Se1 0.5000 0.5000 0.0000
# - calculated volume (Å³ per cell) = 96
# - total magnetic moment (μB/f.u.) = 2.3
# - total energy (eV/atom) = -14.2686
# - space group = P4/mmm
# - ρ (g cm⁻³) = 3.579

11.
# AsPb5, PBEsol geometry, DFT SCAN
data_AsPb5
_chemical_formula_sum 'As1 Pb5'
_symmetry_space_group_name_H-M 'P 1'
_symmetry_Int_Tables_number 1
_cell_length_a 8.4833
_cell_length_b 8.4833
_cell_length_c 5.4688
_cell_angle_alpha 90.00
_cell_angle_beta 90.00
_cell_angle_gamma 154.65
loop_
_symmetry_equiv_pos_as_xyz
'x,y,z'
loop_
_atom_site_label
_atom_site_fract_x
_atom_site_fract_y
_atom_site_fract_z
As1 0.0000 0.0000 0.0000
Pb1 0.1691 0.8309 0.5000
Pb2 0.3554 0.6446 0.0000
Pb3 0.5000 0.5000 0.5000
Pb4 0.6446 0.3554 0.0000
Pb5 0.8309 0.1691 0.5000
# - calculated volume (Å³ per cell) = 169
# - total magnetic moment (μB/f.u.) = 0.0
# - total energy (eV/atom) = -66.4194
# - calculated formation energy (eV/atom) = 0.097
# - space group = Cmmm
# - ρ (g cm⁻³) = 10.947

12.
# Ba3InB9O18, PBEsol geometry, DFT SCAN
data_Ba3InB9O18
_chemical_formula_sum 'Ba6 In2 B18 O36'
_symmetry_space_group_name_H-M 'P 1'
_symmetry_Int_Tables_number 1
_cell_length_a 7.1653
_cell_length_b 7.1653
_cell_length_c 16.3809
_cell_angle_alpha 90.00
_cell_angle_beta 90.00
_cell_angle_gamma 120.00
loop_
_symmetry_equiv_pos_as_xyz
'x,y,z'
loop_
_atom_site_label
_atom_site_fract_x
_atom_site_fract_y
_atom_site_fract_z
Ba1 0.0000 0.0000 0.2500
Ba2 0.0000 0.0000 0.7500
Ba3 0.3333 0.6667 0.1269
Ba4 0.3333 0.6667 0.3731
Ba5 0.6667 0.3333 0.6269
Ba6 0.6667 0.3333 0.8731
In1 0.0000 0.0000 0.0000
In2 0.0000 0.0000 0.5000
B1 0.1144 0.4941 0.7500
B2 0.1662 0.7209 0.5797
B3 0.1662 0.7209 0.9203
B4 0.2791 0.4453 0.5797
B5 0.2791 0.4453 0.9203
B6 0.3797 0.8856 0.7500
B7 0.4453 0.1662 0.0797
B8 0.4453 0.1662 0.4203
B9 0.4941 0.3797 0.2500
B10 0.5059 0.6203 0.7500
B11 0.5547 0.8338 0.5797
B12 0.5547 0.8338 0.9203
B13 0.6203 0.1144 0.2500
B14 0.7209 0.5547 0.0797
B15 0.7209 0.5547 0.4203
B16 0.8338 0.2791 0.0797
B17 0.8338 0.2791 0.4203
B18 0.8856 0.5059 0.2500
O1 0.0034 0.7611 0.5803
O2 0.0034 0.7611 0.9197
O3 0.0859 0.6701 0.2500
O4 0.1199 0.5048 0.5792
O5 0.1199 0.5048 0.9208
O6 0.1661 0.7107 0.7500
O7 0.2389 0.2423 0.5803
O8 0.2389 0.2423 0.9197
O9 0.2423 0.0034 0.0803
O10 0.2423 0.0034 0.4197
O11 0.2893 0.4554 0.7500
O12 0.3299 0.4158 0.2500
O13 0.3849 0.8801 0.5792
O14 0.3849 0.8801 0.9208
O15 0.4158 0.0859 0.7500
O16 0.4554 0.1661 0.2500
O17 0.4952 0.6151 0.5792
O18 0.4952 0.6151 0.9208
O19 0.5048 0.3849 0.0792
O20 0.5048 0.3849 0.4208
O21 0.5446 0.8339 0.7500
O22 0.5842 0.9141 0.2500
O23 0.6151 0.1199 0.0792
O24 0.6151 0.1199 0.4208
O25 0.6701 0.5842 0.7500
O26 0.7107 0.5446 0.2500
O27 0.7577 0.9966 0.5803
O28 0.7577 0.9966 0.9197
O29 0.7611 0.7577 0.0803
O30 0.7611 0.7577 0.4197
O31 0.8339 0.2893 0.2500
O32 0.8801 0.4952 0.0792
O33 0.8801 0.4952 0.4208
O34 0.9141 0.3299 0.7500
O35 0.9966 0.2389 0.0803
O36 0.9966 0.2389 0.4197
# - calculated volume (Å³ per cell) = 728
# - total magnetic moment (μB/f.u.) = 0.0
# - total energy (eV/atom) = -13.4603
# - space group = P6_3/m
# - ρ (g cm⁻³) = 4.159

| no. | D(E_F) (states/eV per cell) |
| --- | --- |
| 1 | 4.828 |
| 2 | 1.167 |
| 3 | 1.498 |
| 4 | 1.736 |
| 5 | 3.430 |
| 6 | 0.000 |
| 7 | 1.818 |
| 8 | 1.632 |
| 9 | 1.438 |
| 10 | 4.361 |
| 11 | 3.015 |
| 12 | 0.000 |